1.
Material: BaZn
Method: DFT, GGA-PBE
State: relaxed

Theoretical density, g/cm³: 4.921
Total energy, hartree per atom: -0.0647

Unit cell a=4.0900 b=4.0900 c=4.0900 alpha=90.00 beta=90.00 gamma=90.00
Last column: nearest neighbours and their distance in Å.
Atoms (fractional coordinates):
Ba: 0.0000 0.0000 0.0000  8 Zn 3.54
Zn: 0.5000 0.5000 0.5000  8 Ba 3.54

2.
Material: Zr5Au2
Method: DFT, GGA-PBE
State: relaxed

Theoretical density, g/cm³: 9.638
Energy of formation, meV per atom: -268
Magnetization, μB/cell: 0.1

Unit cell a=7.6107 b=7.6107 c=7.6107 alpha=37.49 beta=37.49 gamma=37.49
Last column: nearest neighbours and their distance in Å.
Atoms (fractional coordinates):
Zr: 0.1915 0.1915 0.1915  4 Au 2.92-3.08, 4 Zr 3.06-3.24
Au: 0.0463 0.0463 0.0463  8 Zr 2.82-3.08
Zr: 0.7679 0.7679 0.7679  6 Au 3.05, 8 Zr 3.09-3.41
Zr: 0.6222 0.6222 0.6222  1 Au 2.82, 7 Zr 2.96-3.09
Zr: 0.3443 0.3443 0.3443  4 Au 2.92-3.07, 4 Zr 3.06-3.24
Zr: 0.9134 0.9134 0.9134  1 Au 2.82, 7 Zr 2.96-3.09
Au: 0.4893 0.4893 0.4893  8 Zr 2.82-3.07

3.
Material: Dy2Lu5Ni2Te2
Method: DFT, GGA-PBE
State: relaxed

Theoretical density, g/cm³: 9.396
Magnetization, μB/cell: 0.0
Relative energy among the computed polymorphs, meV/atom: 17

Unit cell a=9.2229 b=9.2229 c=9.2229 alpha=156.10 beta=67.24 gamma=118.20
Last column: nearest neighbours and their distance in Å.
Atoms (fractional coordinates):
Lu: 0.7168 0.5822 0.1346  2 Ni 2.76
Te: 0.3393 0.3393 0.0000  7 Lu 3.09-3.21
Ni: 0.3062 0.0698 0.2364  4 Lu 2.76-2.80, 2 Dy 2.76
Te: 0.7328 0.2328 0.5000  6 Lu 3.16-3.18, 2 Dy 3.16
Dy: 0.0620 0.3767 0.6853  2 Ni 2.76
Lu: 0.4476 0.5822 0.8654  2 Ni 2.76
Lu: 0.0828 0.7290 0.3538  2 Ni 2.80, 2 Te 3.13
Ni: 0.8334 0.0698 0.7636  4 Lu 2.76-2.80, 2 Dy 2.76
Lu: 0.0008 0.0008 0.0000  3 Te 3.18-3.21
Lu: 0.3752 0.7290 0.6462  2 Ni 2.80, 2 Te 3.13
Dy: 0.6913 0.3767 0.3147  2 Ni 2.76

4.
Material: Er2Re
Method: DFT, GGA-PBE
State: relaxed

Theoretical density, g/cm³: 12.873
Energy of formation, meV per atom: 1224
Magnetization, μB/cell: 0.0

Unit cell a=5.7488 b=5.7488 c=5.7488 alpha=60.00 beta=60.00 gamma=60.00
Last column: nearest neighbours and their distance in Å.
Atoms (fractional coordinates):
Er: 0.6250 0.1250 0.6250  6 Er 2.87
Er: 0.6250 0.6250 0.1250  6 Er 2.87
Er: 0.1250 0.6250 0.6250  6 Er 2.87
Re: 0.0000 0.0000 0.0000  12 Er 3.37, 4 Re 3.52
Re: 0.2500 0.2500 0.2500  12 Er 3.37, 4 Re 3.52
Er: 0.6250 0.6250 0.6250  6 Er 2.87

5.
Material: CsPrAg
Method: DFT, GGA-PBE
State: relaxed

Theoretical density, g/cm³: 5.980
Magnetization, μB/cell: 0.0
Relative energy among the computed polymorphs, meV/atom: 0

Unit cell a=5.3121 b=5.3121 c=5.3121 alpha=60.00 beta=60.00 gamma=60.00
Last column: nearest neighbours and their distance in Å.
Atoms (fractional coordinates):
Ag: 0.2500 0.2500 0.2500  4 Pr 3.25
Pr: 0.0000 0.0000 0.0000  4 Ag 3.25, 4 Cs 3.25
Cs: 0.7500 0.7500 0.7500  4 Pr 3.25

6.
Material: U2Ga8Pd
Method: DFT, GGA-PBE
State: relaxed

Theoretical density, g/cm³: 9.150
Magnetization, μB/cell: 4.2
Total energy, hartree per atom: -0.1855

Unit cell a=4.3039 b=4.3039 c=11.1710 alpha=90.00 beta=90.00 gamma=90.00
Last column: nearest neighbours and their distance in Å.
Atoms (fractional coordinates):
Ga: 0.5000 0.0000 0.8716  2 Pd 2.59, 1 Ga 2.87
Ga: 0.0000 0.5000 0.5000  4 U 3.01, 8 Ga 3.03-3.04
Ga: 0.5000 0.0000 0.1284  2 Pd 2.59, 1 Ga 2.87
Ga: 0.0000 0.5000 0.8716  2 Pd 2.59, 1 Ga 2.87
Pd: 0.0000 0.0000 0.0000  8 Ga 2.59
Ga: 0.0000 0.5000 0.1284  2 Pd 2.59, 1 Ga 2.87
U: 0.0000 0.0000 0.3121  12 Ga 2.97-3.04
Ga: 0.5000 0.0000 0.5000  4 U 3.01, 8 Ga 3.03-3.04
Ga: 0.5000 0.5000 0.6904  8 Ga 2.95-3.03, 4 U 3.04
U: 0.0000 0.0000 0.6879  12 Ga 2.97-3.04
Ga: 0.5000 0.5000 0.3096  8 Ga 2.95-3.03, 4 U 3.04